Record 1
Here is a geometry-optimized InSn2Pd5 structure from Alexandria via LeMat-Bulk. Energies are from PBE.

energy: -4.808 eV/atom
SG: Cmcm
ΔE to the lowest computed polymorph: 0.2052 eV per atom

Cell and atoms, written as CIF:
```
data_InSn2Pd5
_cell_length_a 8.9103
_cell_length_b 8.9103
_cell_length_c 11.6216
_cell_angle_alpha 90.00
_cell_angle_beta 90.00
_cell_angle_gamma 160.31
_symmetry_space_group_name_H-M 'P 1'
_symmetry_Int_Tables_number 1
_symmetry_space_group_name_Hall 'P 1'
loop_
_atom_site_label
_atom_site_fract_x
_atom_site_fract_y
_atom_site_fract_z
In1 0.1372 0.8628 0.7500
In2 0.8628 0.1372 0.2500
Sn1 0.1258 0.8742 0.0173
Sn2 0.1258 0.8742 0.4827
Sn3 0.8742 0.1258 0.5173
Sn4 0.8742 0.1258 0.9827
Pd1 0.0073 0.9927 0.6288
Pd2 0.0073 0.9927 0.8712
Pd3 0.1333 0.8667 0.2500
Pd4 0.2604 0.7396 0.6115
Pd5 0.2604 0.7396 0.8885
Pd6 0.7396 0.2604 0.1115
Pd7 0.7396 0.2604 0.3885
Pd8 0.8667 0.1333 0.7500
Pd9 0.9927 0.0073 0.1288
Pd10 0.9927 0.0073 0.3712
```



Record 2
Here is a geometry-optimized InSn5Pd3 structure from Alexandria via LeMat-Bulk. Energies are from PBE.

energy: -4.519 eV/atom
SG: C2/m

Cell and atoms, written as CIF:
```
data_InSn5Pd3
_cell_length_a 6.9869
_cell_length_b 6.9869
_cell_length_c 10.4244
_cell_angle_alpha 110.79
_cell_angle_beta 110.79
_cell_angle_gamma 82.87
_symmetry_space_group_name_H-M 'P 1'
_symmetry_Int_Tables_number 1
_symmetry_space_group_name_Hall 'P 1'
loop_
_atom_site_label
_atom_site_fract_x
_atom_site_fract_y
_atom_site_fract_z
In1 0.2457 0.2457 0.2593
In2 0.7543 0.7543 0.7407
Sn1 0.1839 0.6502 0.6084
Sn2 0.1943 0.1943 0.6158
Sn3 0.2478 0.2478 0.9578
Sn4 0.2980 0.7020 0.0000
Sn5 0.3498 0.8161 0.3916
Sn6 0.6502 0.1839 0.6084
Sn7 0.7020 0.2980 0.0000
Sn8 0.7522 0.7522 0.0422
Sn9 0.8057 0.8057 0.3842
Sn10 0.8161 0.3498 0.3916
Pd1 0.0000 0.0000 0.0000
Pd2 0.0014 0.0014 0.2878
Pd3 0.4989 0.4989 0.7861
Pd4 0.5000 0.5000 0.5000
Pd5 0.5011 0.5011 0.2139
Pd6 0.9986 0.9986 0.7122
```



Record 3
Here is a geometry-optimized In6Sn2Pd structure from Alexandria via LeMat-Bulk. Energies are from PBE.

energy: -3.389 eV/atom
SG: Amm2

Cell and atoms, written as CIF:
```
data_In6Sn2Pd
_cell_length_a 4.2044
_cell_length_b 8.3330
_cell_length_c 8.3330
_cell_angle_alpha 127.81
_cell_angle_beta 90.00
_cell_angle_gamma 90.00
_symmetry_space_group_name_H-M 'P 1'
_symmetry_Int_Tables_number 1
_symmetry_space_group_name_Hall 'P 1'
loop_
_atom_site_label
_atom_site_fract_x
_atom_site_fract_y
_atom_site_fract_z
In1 0.0000 0.0000 0.0000
In2 0.0000 0.4870 0.7107
In3 0.0000 0.7107 0.4870
In4 0.5000 0.0802 0.7291
In5 0.5000 0.3309 0.3309
In6 0.5000 0.7291 0.0802
Sn1 0.0000 0.0338 0.4072
Sn2 0.0000 0.4072 0.0338
Pd1 0.5000 0.7271 0.7271
```



Record 4
Here is a geometry-optimized InSn2Pd5 structure from Alexandria via LeMat-Bulk. Energies are from PBE.

energy: -5.013 eV/atom
SG: C2/m
ΔE to the lowest computed polymorph: 0.0000 eV per atom

Cell and atoms, written as CIF:
```
data_InSn2Pd5
_cell_length_a 13.1842
_cell_length_b 4.7900
_cell_length_c 4.7908
_cell_angle_alpha 90.00
_cell_angle_beta 111.06
_cell_angle_gamma 90.00
_symmetry_space_group_name_H-M 'P 1'
_symmetry_Int_Tables_number 1
_symmetry_space_group_name_Hall 'P 1'
loop_
_atom_site_label
_atom_site_fract_x
_atom_site_fract_y
_atom_site_fract_z
In1 0.0000 0.0000 0.0000
In2 0.5000 0.5000 0.0000
Sn1 0.2353 0.5000 0.7352
Sn2 0.2647 0.0000 0.2648
Sn3 0.7353 0.0000 0.7352
Sn4 0.7647 0.5000 0.2648
Pd1 0.0000 0.5000 0.5000
Pd2 0.1257 0.0000 0.6226
Pd3 0.1257 0.5000 0.1252
Pd4 0.3743 0.0000 0.8748
Pd5 0.3743 0.5000 0.3774
Pd6 0.5000 0.0000 0.5000
Pd7 0.6257 0.0000 0.1252
Pd8 0.6257 0.5000 0.6226
Pd9 0.8743 0.0000 0.3774
Pd10 0.8743 0.5000 0.8748
```



Record 5
Here is a geometry-optimized InSnPd2 structure from Alexandria via LeMat-Bulk. Energies are from PBE.

energy: -4.742 eV/atom
SG: C2/m

Cell and atoms, written as CIF:
```
data_InSnPd2
_cell_length_a 12.3680
_cell_length_b 5.2337
_cell_length_c 5.2353
_cell_angle_alpha 90.00
_cell_angle_beta 115.03
_cell_angle_gamma 90.00
_symmetry_space_group_name_H-M 'P 1'
_symmetry_Int_Tables_number 1
_symmetry_space_group_name_Hall 'P 1'
loop_
_atom_site_label
_atom_site_fract_x
_atom_site_fract_y
_atom_site_fract_z
In1 0.1665 0.0000 0.4173
In2 0.3335 0.5000 0.5827
In3 0.6665 0.5000 0.4173
In4 0.8335 0.0000 0.5827
Sn1 0.1640 0.5000 0.9138
Sn2 0.3360 0.0000 0.0862
Sn3 0.6640 0.0000 0.9138
Sn4 0.8360 0.5000 0.0862
Pd1 0.0775 0.5000 0.3273
Pd2 0.0789 0.0000 0.8296
Pd3 0.4211 0.5000 0.1704
Pd4 0.4225 0.0000 0.6727
Pd5 0.5775 0.0000 0.3273
Pd6 0.5789 0.5000 0.8296
Pd7 0.9211 0.0000 0.1704
Pd8 0.9225 0.5000 0.6727
```



Record 6
Here is a geometry-optimized InSn2Pd4 structure from Alexandria via LeMat-Bulk. Energies are from PBE.

energy: -4.344 eV/atom
SG: I4/mmm
ΔE to the lowest computed polymorph: 0.6135 eV per atom

Cell and atoms, written as CIF:
```
data_InSn2Pd4
_cell_length_a 4.9330
_cell_length_b 4.9330
_cell_length_c 13.5584
_cell_angle_alpha 90.00
_cell_angle_beta 90.00
_cell_angle_gamma 90.00
_symmetry_space_group_name_H-M 'P 1'
_symmetry_Int_Tables_number 1
_symmetry_space_group_name_Hall 'P 1'
loop_
_atom_site_label
_atom_site_fract_x
_atom_site_fract_y
_atom_site_fract_z
In1 0.0000 0.0000 0.0000
In2 0.5000 0.5000 0.5000
Sn1 0.0000 0.0000 0.3831
Sn2 0.0000 0.0000 0.6169
Sn3 0.5000 0.5000 0.1169
Sn4 0.5000 0.5000 0.8831
Pd1 0.0000 0.0000 0.1934
Pd2 0.0000 0.0000 0.8066
Pd3 0.0000 0.5000 0.0000
Pd4 0.0000 0.5000 0.5000
Pd5 0.5000 0.0000 0.0000
Pd6 0.5000 0.0000 0.5000
Pd7 0.5000 0.5000 0.3066
Pd8 0.5000 0.5000 0.6934
```



Record 7
Here is a geometry-optimized InSn3Pd12 structure from Alexandria via LeMat-Bulk. Energies are from PBE.

energy: -5.304 eV/atom
SG: P4/mmm

Cell and atoms, written as CIF:
```
data_InSn3Pd12
_cell_length_a 4.0361
_cell_length_b 4.0361
_cell_length_c 16.1945
_cell_angle_alpha 90.00
_cell_angle_beta 90.00
_cell_angle_gamma 90.00
_symmetry_space_group_name_H-M 'P 1'
_symmetry_Int_Tables_number 1
_symmetry_space_group_name_Hall 'P 1'
loop_
_atom_site_label
_atom_site_fract_x
_atom_site_fract_y
_atom_site_fract_z
In1 0.0000 0.0000 0.0000
Sn1 0.0000 0.0000 0.2487
Sn2 0.0000 0.0000 0.5000
Sn3 0.0000 0.0000 0.7513
Pd1 0.0000 0.5000 0.1262
Pd2 0.0000 0.5000 0.3752
Pd3 0.0000 0.5000 0.6248
Pd4 0.0000 0.5000 0.8738
Pd5 0.5000 0.0000 0.1262
Pd6 0.5000 0.0000 0.3752
Pd7 0.5000 0.0000 0.6248
Pd8 0.5000 0.0000 0.8738
Pd9 0.5000 0.5000 0.0000
Pd10 0.5000 0.5000 0.2514
Pd11 0.5000 0.5000 0.5000
Pd12 0.5000 0.5000 0.7486
```



Record 8
Here is a geometry-optimized InSnPd structure from Alexandria via LeMat-Bulk. Energies are from PBE.

energy: -4.239 eV/atom
SG: I4mm

Cell and atoms, written as CIF:
```
data_InSnPd
_cell_length_a 3.2776
_cell_length_b 3.2776
_cell_length_c 12.1629
_cell_angle_alpha 90.00
_cell_angle_beta 90.00
_cell_angle_gamma 90.00
_symmetry_space_group_name_H-M 'P 1'
_symmetry_Int_Tables_number 1
_symmetry_space_group_name_Hall 'P 1'
loop_
_atom_site_label
_atom_site_fract_x
_atom_site_fract_y
_atom_site_fract_z
In1 0.0000 0.0000 0.0000
In2 0.5000 0.5000 0.5000
Sn1 0.0000 0.0000 0.2864
Sn2 0.5000 0.5000 0.7864
Pd1 0.0000 0.0000 0.6443
Pd2 0.5000 0.5000 0.1443
```



Which value of energy does entry 8 give? -4.239 eV/atom



Which value of energy does entry 7 give? -5.304 eV/atom



Copy entry 7 word for word.
Here is a geometry-optimized InSn3Pd12 structure from Alexandria via LeMat-Bulk. Energies are from PBE.

energy: -5.304 eV/atom
SG: P4/mmm

Cell and atoms, written as CIF:
```
data_InSn3Pd12
_cell_length_a 4.0361
_cell_length_b 4.0361
_cell_length_c 16.1945
_cell_angle_alpha 90.00
_cell_angle_beta 90.00
_cell_angle_gamma 90.00
_symmetry_space_group_name_H-M 'P 1'
_symmetry_Int_Tables_number 1
_symmetry_space_group_name_Hall 'P 1'
loop_
_atom_site_label
_atom_site_fract_x
_atom_site_fract_y
_atom_site_fract_z
In1 0.0000 0.0000 0.0000
Sn1 0.0000 0.0000 0.2487
Sn2 0.0000 0.0000 0.5000
Sn3 0.0000 0.0000 0.7513
Pd1 0.0000 0.5000 0.1262
Pd2 0.0000 0.5000 0.3752
Pd3 0.0000 0.5000 0.6248
Pd4 0.0000 0.5000 0.8738
Pd5 0.5000 0.0000 0.1262
Pd6 0.5000 0.0000 0.3752
Pd7 0.5000 0.0000 0.6248
Pd8 0.5000 0.0000 0.8738
Pd9 0.5000 0.5000 0.0000
Pd10 0.5000 0.5000 0.2514
Pd11 0.5000 0.5000 0.5000
Pd12 0.5000 0.5000 0.7486
```



Which of these has the lowest energy? InSn3Pd12